DFT (GGA+U) results for a relaxed Ga3CoF crystal.

Results
- offset from the most stable computed form (eV/atom) = 0.720
- symmetry = No. 221

Cell: 4.405 4.405 4.405 Å, 90.00 90.00 90.00°
Element x y z (fractional)
Ga (0.000, 0.000, 0.500)
Ga (0.000, 0.500, 0.000)
Ga (0.500, 0.000, 0.000)
Co (0.500, 0.500, 0.500)
F (0.000, 0.000, 0.000)